# 1
The following is a PBE calculation of a relaxed structure of YTm2NpO8, from the Alexandria database.

Cell and atoms, written as CIF:
```
data_YTm2NpO8
_cell_length_a 5.0437
_cell_length_b 5.0412
_cell_length_c 6.9435
_cell_angle_alpha 90.00
_cell_angle_beta 90.00
_cell_angle_gamma 90.73
_symmetry_space_group_name_H-M 'P 1'
_symmetry_Int_Tables_number 1
loop_
_symmetry_equiv_pos_as_xyz
'x,y,z'
loop_
_atom_site_label
_atom_site_fract_x
_atom_site_fract_y
_atom_site_fract_z
Tm1 0.5000 0.5000 0.2607
O1 0.3105 0.3101 0.5000
O2 0.6895 0.6899 0.5000
Y1 0.0000 0.0000 0.5000
O3 0.7152 0.7157 0.0000
O4 0.8141 0.1864 0.7772
O5 0.1859 0.8136 0.2228
Tm2 0.5000 0.5000 0.7393
Np1 0.0000 0.0000 0.0000
O6 0.2848 0.2843 0.0000
O7 0.1859 0.8136 0.7772
O8 0.8141 0.1864 0.2228
```

Calculated values
Crystal system ... orthorhombic
Symmetry ... Cmmm, No. 65
Raw formation energy ... -3.22 eV/atom

=====

# 2
The following is a PBE calculation of a relaxed structure of Y2TmNpO8, from the Alexandria database.

Cell and atoms, written as CIF:
```
data_Y2TmNpO8
_cell_length_a 5.0834
_cell_length_b 5.0805
_cell_length_c 6.9567
_cell_angle_alpha 90.00
_cell_angle_beta 90.00
_cell_angle_gamma 91.31
_symmetry_space_group_name_H-M 'P 1'
_symmetry_Int_Tables_number 1
loop_
_symmetry_equiv_pos_as_xyz
'x,y,z'
loop_
_atom_site_label
_atom_site_fract_x
_atom_site_fract_y
_atom_site_fract_z
O1 0.7166 0.7175 0.0000
Np1 0.0000 0.0000 0.0000
O2 0.3047 0.3041 0.5000
O3 0.6953 0.6959 0.5000
O4 0.8193 0.1816 0.7742
Y1 0.5000 0.5000 0.7401
O5 0.2834 0.2825 0.0000
O6 0.8193 0.1816 0.2258
O7 0.1807 0.8184 0.7742
O8 0.1807 0.8184 0.2258
Y2 0.5000 0.5000 0.2599
Tm1 0.0000 0.0000 0.5000
```

Calculated values
Crystal system ... orthorhombic
Symmetry ... Cmmm, No. 65
Raw formation energy ... -3.19 eV/atom

=====

# 3
The following is a PBE calculation of a relaxed structure of NpUO6, from the Alexandria database.

Cell and atoms, written as CIF:
```
data_NpUO6
_cell_length_a 3.7634
_cell_length_b 6.0275
_cell_length_c 5.2395
_cell_angle_alpha 74.84
_cell_angle_beta 77.99
_cell_angle_gamma 72.40
_symmetry_space_group_name_H-M 'P 1'
_symmetry_Int_Tables_number 1
loop_
_symmetry_equiv_pos_as_xyz
'x,y,z'
loop_
_atom_site_label
_atom_site_fract_x
_atom_site_fract_y
_atom_site_fract_z
O1 0.6681 0.3155 0.2441
O2 0.6532 0.0319 0.7656
U1 0.0000 0.0000 0.0000
O3 0.0113 0.3366 0.7180
Np1 0.5000 0.5000 0.5000
O4 0.9887 0.6634 0.2820
O5 0.3468 0.9681 0.2344
O6 0.3319 0.6845 0.7559
```

Calculated values
Crystal system ... triclinic
Symmetry ... P-1, No. 2
Raw formation energy ... -2.80 eV/atom